Record 1
CaPt | Alexandria via LeMat-Bulk | PBE | relaxed; E_form = -0.6760 eV/atom
1.0
-5.702 6.812 0.039
-5.701 -4.800 4.835
1.979 1.633 3.955
Pt Ca
8 8
Cartesian
-5.701 -2.912 4.055
-5.702 4.925 0.819
-1.854 0.327 0.792
-2.859 1.496 3.622
-4.712 -0.065 5.194
-9.549 1.685 4.082
-6.566 2.150 5.207
-4.712 3.710 3.635
-0.567 2.677 1.988
-3.155 -2.673 5.492
-7.258 -0.304 3.757
-4.145 2.317 1.117
-7.258 2.866 2.448
-0.567 -0.494 3.298
-4.145 -0.854 2.426
-3.156 5.769 2.006



Record 2
CaPt5 | Alexandria via LeMat-Bulk | PBE | relaxed; E_form = -0.2580 eV/atom
1.0
-1.179 1.019 7.457
-1.368 0.214 -7.491
-2.074 -4.278 0.257
Pt Ca
5 1
Cartesian
-1.240 0.762 2.682
-2.240 -1.219 5.743
-1.303 0.490 -2.361
-2.301 -1.483 0.848
-2.366 -1.757 -4.244
-1.366 0.221 -7.368



Record 3
CaPt | Alexandria via LeMat-Bulk | PBE | relaxed; E_form = -0.5288 eV/atom
1.0
-4.379 2.199 -2.704
-2.372 -8.815 -3.328
-1.065 -1.605 5.010
Ca Pt
6 6
Cartesian
-2.492 -0.025 -1.777
-0.915 -2.224 1.968
-0.863 -3.207 -1.211
-4.409 -5.973 -1.214
-2.199 -8.175 -3.086
-3.431 -3.514 -3.094
-2.512 -8.161 -0.273
-3.455 -2.428 0.124
-1.828 -5.616 0.688
-2.777 0.093 1.076
-1.513 -5.625 -2.124
-4.167 -6.253 -4.128



Record 4
Ca7Pt5 | Alexandria via LeMat-Bulk | PBE | relaxed; E_form = -0.3778 eV/atom; distance to the lowest polymorph of the same formula = 92 meV/atom
1.0
5.670 0.000 0.008
0.000 10.857 0.000
-2.794 0.000 4.934
Ca Pt
7 5
Cartesian
0.000 7.238 0.000
-1.397 8.709 2.467
0.000 10.619 0.000
2.835 0.945 0.004
-1.397 2.674 2.467
2.835 5.767 0.004
0.000 3.857 0.000
1.438 9.918 2.471
-1.397 5.494 2.467
1.438 4.558 2.471
1.438 7.238 2.471
2.835 8.982 0.004



Record 5
Ca3Pt | Alexandria via LeMat-Bulk | PBE | relaxed; E_form = -0.6248 eV/atom
1.0
7.767 0.000 0.000
0.000 9.479 0.000
0.000 0.000 6.593
Ca Pt
12 4
Cartesian
6.452 5.355 4.360
2.569 5.355 5.530
1.315 4.124 2.233
6.452 8.863 4.360
0.307 2.370 5.665
5.198 4.124 1.064
5.198 0.616 1.064
7.460 7.109 0.928
3.576 7.109 2.369
1.315 0.616 2.233
2.569 8.863 5.530
4.191 2.370 4.225
6.796 2.370 3.001
2.913 2.370 0.296
4.854 7.109 6.298
0.971 7.109 3.592



Record 6
Ca7Pt5 | Alexandria via LeMat-Bulk | PBE | relaxed; E_form = -0.4294 eV/atom; distance to the lowest polymorph of the same formula = 40 meV/atom
1.0
4.656 0.000 0.000
0.000 6.258 0.000
0.000 0.000 9.300
Pt Ca
5 7
Cartesian
0.000 3.129 9.268
2.328 1.667 7.750
0.000 3.129 6.232
0.000 0.000 3.100
2.328 4.591 7.750
2.328 1.620 4.892
2.328 4.638 1.307
0.000 3.129 3.100
0.000 0.000 6.349
2.328 4.638 4.892
2.328 1.620 1.307
0.000 0.000 9.150



Record 7
CaPt | Alexandria via LeMat-Bulk | PBE | relaxed; E_form = -0.6347 eV/atom
1.0
3.192 0.000 0.000
0.000 4.834 0.000
0.000 0.000 5.776
Ca Pt
2 2
Cartesian
1.596 2.417 3.872
0.000 0.000 0.460
0.000 0.000 3.323
1.596 2.417 1.010



Record 8
Ca2Pt | Alexandria via LeMat-Bulk | PBE | relaxed; E_form = -0.7730 eV/atom
1.0
-6.278 -3.608 -2.998
1.469 -0.431 7.686
-2.414 3.647 0.666
Ca Pt
6 3
Cartesian
0.378 -0.111 1.979
-4.911 -0.305 -1.436
-3.179 0.168 2.255
-3.571 -2.999 3.481
-1.616 -0.929 -0.772
-0.340 1.569 4.868
-3.696 -2.549 0.563
-1.207 1.823 0.333
-1.113 -1.490 4.125



Record 9
CaPt | Alexandria via LeMat-Bulk | PBE | relaxed; E_form = -0.7627 eV/atom
1.0
-4.098 14.725 7.356
-0.096 -1.783 3.515
4.200 0.887 0.564
Ca Pt
6 6
Cartesian
-0.721 1.527 2.965
2.099 0.430 0.308
-0.670 9.333 6.925
0.676 4.497 4.510
-2.144 5.593 7.167
-3.473 11.416 7.906
1.291 3.351 1.736
-1.189 12.260 6.186
-1.335 2.673 5.739
0.004 6.930 5.688
-0.049 -0.906 1.788
-2.954 8.488 8.645



Record 10
CaPt | Alexandria via LeMat-Bulk | PBE | relaxed; E_form = -0.7862 eV/atom
1.0
2.049 5.188 -0.239
-2.049 5.188 -0.239
0.000 2.103 6.730
Pt Ca
3 3
Cartesian
0.000 4.059 6.353
0.000 2.242 4.213
0.000 3.548 1.833
0.000 9.458 -0.327
0.000 6.567 1.819
0.000 9.480 3.824



Record 11
Ca3Pt | Alexandria via LeMat-Bulk | PBE | relaxed; E_form = -0.3051 eV/atom
1.0
-5.034 4.366 7.668
-9.433 1.139 3.597
7.598 -5.585 -3.781
Ca Pt
6 2
Cartesian
-12.634 4.808 9.838
-0.918 -2.223 -0.092
-4.534 -0.847 2.724
-2.335 0.767 4.760
1.282 -0.610 1.944
-1.833 0.697 1.427
-9.312 3.544 7.252
-5.155 1.961 4.014



Record 12
Ca3Pt4 | Alexandria via LeMat-Bulk | PBE | relaxed; E_form = -0.4449 eV/atom; distance to the lowest polymorph of the same formula = 166 meV/atom
1.0
-1.895 1.895 10.417
1.895 -1.895 10.417
1.895 1.895 -10.417
Pt Ca
4 3
Cartesian
0.000 0.000 9.079
0.000 0.000 2.997
0.000 0.000 11.756
0.000 0.000 17.838
0.000 0.000 14.534
0.000 0.000 0.000
0.000 0.000 6.301



Record 13
Ca5Pt4 | Alexandria via LeMat-Bulk | PBE | relaxed; E_form = -0.8584 eV/atom; distance to the lowest polymorph of the same formula = 0 meV/atom
1.0
4.184 0.000 1.075
1.862 5.239 1.434
-0.302 -0.242 9.856
Pt Ca
4 5
Cartesian
2.091 1.163 9.223
2.565 3.055 7.376
3.653 3.834 3.143
3.179 1.942 4.990
0.000 0.000 0.000
5.140 4.181 6.035
4.149 3.312 9.893
1.595 1.684 2.473
0.604 0.816 6.331



Record 14
Ca3Pt | Alexandria via LeMat-Bulk | PBE | relaxed; E_form = -0.4145 eV/atom
1.0
-3.692 -3.431 -2.531
3.679 -4.255 0.402
-2.154 -1.388 5.024
Ca Pt
3 1
Cartesian
-1.077 -0.694 2.512
1.840 -2.128 0.201
-1.846 -1.716 -1.265
0.000 0.000 0.000



Record 15
Ca3Pt2 | Alexandria via LeMat-Bulk | PBE | relaxed; E_form = -0.7618 eV/atom; distance to the lowest polymorph of the same formula = 107 meV/atom
1.0
4.137 0.000 0.000
0.000 7.404 1.190
0.000 1.603 8.926
Ca Pt
6 4
Cartesian
2.068 6.459 4.873
2.068 2.548 5.243
0.000 7.977 8.660
0.000 4.714 7.505
0.000 4.293 2.611
0.000 1.031 1.456
2.068 6.220 1.905
2.068 2.787 8.211
2.068 3.702 0.595
0.000 0.802 4.463



Record 16
CaPt | Alexandria via LeMat-Bulk | PBE | relaxed; E_form = -0.3520 eV/atom
1.0
-3.003 -1.070 1.984
-0.365 -3.030 -2.187
9.030 -7.883 9.414
Ca Pt
4 4
Cartesian
1.258 -2.773 0.408
6.088 -7.161 8.904
5.228 -6.239 4.547
2.118 -3.695 4.765
8.634 -9.213 8.098
0.543 -2.320 3.124
6.802 -7.614 6.188
-1.288 -0.721 1.214



Record 17
CaPt | Alexandria via LeMat-Bulk | PBE | relaxed; E_form = -0.6655 eV/atom
1.0
-2.939 -1.491 -3.494
4.868 -5.797 -1.622
-4.125 -4.115 5.227
Ca Pt
6 6
Cartesian
0.546 -3.375 0.981
0.495 -6.608 2.403
1.511 -7.951 -1.179
-3.460 -6.756 2.492
4.570 -5.725 -1.401
-1.939 -3.709 3.214
2.461 -5.795 0.403
2.163 -5.215 -2.895
2.655 -3.306 -0.823
-4.712 -4.036 2.385
-2.105 -4.874 0.549
0.014 -5.376 -1.019



Record 18
CaPt | Alexandria via LeMat-Bulk | PBE | relaxed; E_form = -0.7238 eV/atom
1.0
-2.107 2.865 5.802
2.107 -2.865 5.802
2.107 2.865 -5.802
Ca Pt
3 3
Cartesian
0.000 0.396 3.440
0.000 0.396 8.164
0.000 1.745 0.000
0.000 3.144 4.433
0.000 4.559 0.000
2.107 0.279 1.368



Record 19
Ca3Pt2 | Alexandria via LeMat-Bulk | PBE | relaxed; E_form = -0.6525 eV/atom; distance to the lowest polymorph of the same formula = 216 meV/atom
1.0
9.875 -2.083 -0.004
9.875 2.083 -0.004
9.438 0.000 3.577
Pt Ca
2 3
Cartesian
17.765 0.000 2.173
11.423 0.000 1.397
0.000 0.000 0.000
6.566 0.000 0.803
22.623 0.000 2.767



Record 20
Ca2Pt | Alexandria via LeMat-Bulk | PBE | relaxed; E_form = -0.7096 eV/atom
1.0
6.657 0.000 0.000
0.000 6.666 0.000
0.000 0.000 4.276
Pt Ca
2 4
Cartesian
0.000 0.000 0.000
3.329 3.333 2.138
1.581 5.587 2.138
1.748 2.254 0.000
4.910 4.413 0.000
5.076 1.079 2.138



Which calculated total energy belongs to each record? In order, -4.697; -5.626; -4.550; -4.062; -3.636; -4.114; -4.656; -4.121; -4.784; -4.807; -3.316; -4.755; -4.655; -3.426; -4.379; -4.373; -4.687; -4.745; -4.270; -4.058 eV/atom.
Which V belongs to each record? In order, 372.0; 100.9; 265.8; 304.0; 485.4; 271.0; 89.1; 235.3; 289.5; 145.1; 221.8; 149.6; 218.7; 179.4; 265.5; 214.9; 290.1; 140.1; 147.3; 189.8 Å³/cell.